DFT (PBE) results for a relaxed structure of Th4ZnSe3.

Cell: 7.349 7.349 7.349 Å, 132.12 132.12 70.05°
Sites, in units of the cell vectors:
Th  0.000  0.500  0.500
Th  0.249  0.249  0.000
Th  0.500  0.000  0.500
Th  0.751  0.751  0.000
Zn  0.500  0.500  0.000
Se  0.000  0.000  0.000
Se  0.250  0.750  0.500
Se  0.750  0.250  0.500

Values from the calculation:
The calculation puts the magnetic moment at 0.00 μB per atom. The value obtained for the energy relative to the elements, uncorrected is -1207 meV/atom. The value obtained for the volume is 26.8 A^3/atom. The value obtained for the energy is -51.06 eV for the cell shown.